No. 1
KNa2SmF6 | PBE | relaxed

Output
The symmetry is R3, No. 146. The total energy is -0.386 Ry/atom. For the density of states at the Fermi level, the calculation gives 0.0 states/eV/cell.

POSCAR file:
```
KNa2SmF6
1.0
3.0329 1.7511 5.3433
-3.0329 1.7511 5.3433
0.0000 -3.5021 5.3433
K Na Sm F
1 2 1 6
direct
0.0000 0.0000 0.0000
0.2781 0.2781 0.2781
0.7857 0.7857 0.7857
0.4877 0.4877 0.4877
0.0956 0.6334 0.4400
0.1989 0.5588 0.8767
0.4400 0.0956 0.6334
0.5588 0.8767 0.1989
0.6334 0.4400 0.0956
0.8767 0.1989 0.5588
```

No. 2
VTeMoI2 | PBE | relaxed

Output
The symmetry is P4/mmm, No. 123. The calculation puts the offset from the most stable computed form at 0.0 meV per atom. The total energy is -0.324 Ry/atom. For the density of states at the Fermi level, the calculation gives 4.0 states/eV/cell.

POSCAR file:
```
VTeMoI2
1.0
5.5595 0.0000 0.0000
0.0000 5.5595 0.0000
0.0000 0.0000 5.2606
V Te Mo I
1 1 1 2
direct
0.0000 0.0000 0.0000
0.0000 0.0000 0.5000
0.5000 0.5000 0.5000
0.0000 0.5000 0.0000
0.5000 0.0000 0.0000
```

Which energy relative to the elements, uncorrected belongs to each record? In order, -3.280, 0.825 eV per atom.